Material: Li3MnCoO5
Method: DFT, GGA+U
State: optimized geometry

It has space group P-1 (No. 2), with a = 4.984 Å, b = 5.670 Å, c = 7.542 Å, α = 95.94°, β = 108.80° and γ = 113.29°. The distinct sites, in fractional coordinates, are Li at (0.000, 0.000, 0.000), Li at (0.104, 0.522, 0.715), Li at (0.276, 0.468, 0.086), Li at (0.500, 0.500, 0.500), Mn at (0.193, 0.996, 0.391), Co at (0.420, 0.010, 0.809), O at (0.084, 0.225, 0.259), O at (0.133, 0.759, 0.171), O at (0.244, 0.213, 0.639), O at (0.358, 0.794, 0.564) and O at (0.488, 0.223, 0.044).

As for the crystal system: triclinic. The calculation puts the uncorrected energy at -5.87 eV/atom.